1.
PBE HfTlCoPd, relaxed; ΔE to the lowest computed polymorph = 0.0 meV per atom; total moment = 0.7 μB/cell; total energy = -0.4661 Ry per atom
1.0
-2.5825 3.0626 2.2272
-2.5207 3.0175 -2.3557
-4.5674 -0.3794 -0.0578
Hf Co Pd Tl
1 1 1 1
Cartesian
-4.8353 2.8503 -0.0932
-7.2530 4.2755 -0.1398
-2.4177 1.4252 -0.0466
0.0000 0.0000 0.0000

=====

2.
PBE SrHfHg, relaxed; ΔE to the lowest computed polymorph = 0.0 meV per atom; total moment = 0.1 μB/cell; total energy = -0.3008 Ry per atom
1.0
3.5545 0.0000 0.0000
0.0000 3.5545 0.0000
0.0000 0.0000 13.2994
Sr Hf Hg
2 2 2
Cartesian
1.7773 0.0000 8.4095
0.0000 1.7773 4.8899
1.7773 0.0000 12.3991
0.0000 1.7773 0.9002
1.7773 0.0000 2.6103
0.0000 1.7773 10.6891